# 1
DFT (PBE) results for a geometry-optimized CaZr2Os structure.

a b c (Å): 5.663 5.663 5.663
angles (deg): 136.84 136.84 62.69
Atoms (fractional coordinates):
Zr1 0.250 0.750 0.500
Ca1 0.500 0.500 0.000
Zr2 0.000 0.000 0.000
Os1 0.750 0.250 0.500

- ΔH_f (0 K): 0.360 eV per atom
- DFT total energy: -28.89 eV per cell
- N(E_F): 5.055 states/eV per cell
- Polymorph energy (0 for the lowest one): 376 meV/atom
- Size of the total moment: 0.0 μB/cell
- SG: No. 119

# 2
DFT (PBE) results for a geometry-optimized Ca2ZrOs structure.

a b c (Å): 3.078 3.078 10.686
angles (deg): 90.00 90.00 112.92
Atoms (fractional coordinates):
Zr1 0.500 0.500 0.750
Ca1 0.000 0.000 0.041
Ca2 0.000 0.000 0.459
Os1 0.500 0.500 0.250

- ΔH_f (0 K): 0.588 eV per atom
- DFT total energy: -21.43 eV per cell
- N(E_F): 3.639 states/eV per cell
- Polymorph energy (0 for the lowest one): 591 meV/atom
- Size of the total moment: 0.0 μB/cell
- SG: No. 65

# 3
DFT (PBE) results for a geometry-optimized CaZr2Os structure.

a b c (Å): 4.918 4.918 4.918
angles (deg): 60.00 60.00 60.00
Atoms (fractional coordinates):
Os1 0.750 0.750 0.750
Zr1 0.250 0.250 0.250
Zr2 0.000 0.000 0.000
Ca1 0.500 0.500 0.500

- ΔH_f (0 K): 0.353 eV per atom
- DFT total energy: -28.92 eV per cell
- N(E_F): 4.061 states/eV per cell
- Polymorph energy (0 for the lowest one): 369 meV/atom
- Size of the total moment: 1.6 μB/cell
- SG: No. 216

# 4
DFT (PBE) results for a geometry-optimized CaZr2Os2 structure.

a b c (Å): 7.957 7.957 3.229
angles (deg): 90.00 90.00 90.00
Atoms (fractional coordinates):
Ca1 0.500 0.500 0.000
Zr1 0.854 0.354 0.500
Os1 0.856 0.644 0.000
Ca2 0.000 0.000 0.000
Os2 0.356 0.856 0.000
Zr2 0.354 0.146 0.500
Zr3 0.646 0.854 0.500
Zr4 0.146 0.646 0.500
Os3 0.644 0.144 0.000
Os4 0.144 0.356 0.000

- ΔH_f (0 K): -0.142 eV per atom
- DFT total energy: -84.54 eV per cell
- N(E_F): 8.715 states/eV per cell
- Polymorph energy (0 for the lowest one): 0 meV/atom
- Size of the total moment: 0.0 μB/cell
- SG: No. 127

# 5
DFT (PBE) results for a geometry-optimized CaZrOs structure.

a b c (Å): 3.259 4.586 10.443
angles (deg): 90.00 98.66 90.00
Atoms (fractional coordinates):
Ca1 0.675 0.250 0.355
Os1 0.949 0.750 0.894
Zr1 0.555 0.750 0.114
Ca2 0.325 0.750 0.645
Zr2 0.445 0.250 0.886
Os2 0.051 0.250 0.106

- ΔH_f (0 K): -0.095 eV per atom
- DFT total energy: -44.13 eV per cell
- N(E_F): 5.233 states/eV per cell
- Polymorph energy (0 for the lowest one): 10 meV/atom
- Size of the total moment: 0.0 μB/cell
- SG: No. 11

# 6
DFT (PBE) results for a geometry-optimized CaZr2Os structure.

a b c (Å): 9.750 9.750 9.750
angles (deg): 20.77 20.77 20.77
Atoms (fractional coordinates):
Zr1 0.478 0.478 0.478
Zr2 0.022 0.022 0.022
Ca1 0.250 0.250 0.250
Os1 0.750 0.750 0.750

- ΔH_f (0 K): 0.186 eV per atom
- DFT total energy: -29.59 eV per cell
- N(E_F): 3.203 states/eV per cell
- Polymorph energy (0 for the lowest one): 202 meV/atom
- Size of the total moment: 0.0 μB/cell
- SG: No. 166

# 7
DFT (PBE) results for a geometry-optimized CaZrOs structure.

a b c (Å): 4.294 21.818 3.272
angles (deg): 90.00 90.00 90.00
Atoms (fractional coordinates):
Os1 0.000 0.953 0.750
Os2 0.500 0.547 0.250
Os3 0.500 0.453 0.750
Zr1 0.500 0.932 0.250
Os4 0.000 0.047 0.250
Ca1 0.500 0.684 0.250
Zr2 0.500 0.068 0.750
Zr3 0.000 0.432 0.250
Ca2 0.000 0.816 0.750
Zr4 0.000 0.568 0.750
Ca3 0.000 0.184 0.250
Ca4 0.500 0.316 0.750

- ΔH_f (0 K): -0.035 eV per atom
- DFT total energy: -87.53 eV per cell
- N(E_F): 8.401 states/eV per cell
- Polymorph energy (0 for the lowest one): 70 meV/atom
- Size of the total moment: 0.0 μB/cell
- SG: No. 63

# 8
DFT (PBE) results for a geometry-optimized Ca2ZrOs structure.

a b c (Å): 3.003 5.088 5.876
angles (deg): 90.00 90.00 90.00
Atoms (fractional coordinates):
Os1 0.500 0.500 0.250
Ca1 0.000 0.000 0.015
Zr1 0.500 0.500 0.750
Ca2 0.000 0.000 0.485

- ΔH_f (0 K): 0.539 eV per atom
- DFT total energy: -21.63 eV per cell
- N(E_F): 3.980 states/eV per cell
- Polymorph energy (0 for the lowest one): 542 meV/atom
- Size of the total moment: 0.0 μB/cell
- SG: No. 47

# 9
DFT (PBE) results for a geometry-optimized CaZrOs structure.

a b c (Å): 3.320 3.320 12.956
angles (deg): 90.00 90.00 90.00
Atoms (fractional coordinates):
Ca1 0.000 0.000 0.445
Os1 0.500 0.500 0.847
Zr1 0.000 0.000 0.960
Ca2 0.500 0.500 0.186
Os2 0.500 0.500 0.596
Zr2 0.000 0.000 0.704

- ΔH_f (0 K): -0.105 eV per atom
- DFT total energy: -44.19 eV per cell
- N(E_F): 3.728 states/eV per cell
- Polymorph energy (0 for the lowest one): 0 meV/atom
- Size of the total moment: 0.0 μB/cell
- SG: No. 99

# 10
DFT (PBE) results for a geometry-optimized CaZrOs structure.

a b c (Å): 4.653 4.653 4.653
angles (deg): 60.00 60.00 60.00
Atoms (fractional coordinates):
Zr1 0.000 0.000 0.000
Os1 0.750 0.750 0.750
Ca1 0.500 0.500 0.500

- ΔH_f (0 K): 0.206 eV per atom
- DFT total energy: -21.16 eV per cell
- N(E_F): 1.199 states/eV per cell
- Polymorph energy (0 for the lowest one): 311 meV/atom
- Size of the total moment: 0.0 μB/cell
- SG: No. 216

# 11
DFT (PBE) results for a geometry-optimized Ca2ZrOs structure.

a b c (Å): 3.394 3.395 10.002
angles (deg): 70.31 90.00 90.00
Atoms (fractional coordinates):
Ca1 0.000 0.030 0.972
Ca2 0.500 0.175 0.322
Zr1 0.500 0.830 0.671
Os1 0.000 0.465 0.534

- ΔH_f (0 K): -0.003 eV per atom
- DFT total energy: -23.79 eV per cell
- N(E_F): 2.462 states/eV per cell
- Polymorph energy (0 for the lowest one): 0 meV/atom
- Size of the total moment: 0.0 μB/cell
- SG: No. 6

# 12
DFT (PBE) results for a geometry-optimized Ca2ZrOs structure.

a b c (Å): 4.757 4.757 7.770
angles (deg): 73.02 73.02 48.46
Atoms (fractional coordinates):
Ca1 0.821 0.821 0.671
Zr1 0.193 0.193 0.377
Os1 0.498 0.498 0.372
Ca2 0.988 0.988 0.080

- ΔH_f (0 K): 0.164 eV per atom
- DFT total energy: -23.12 eV per cell
- N(E_F): 1.486 states/eV per cell
- Polymorph energy (0 for the lowest one): 167 meV/atom
- Size of the total moment: 0.0 μB/cell
- SG: No. 8

# 13
DFT (PBE) results for a geometry-optimized Ca2ZrOs structure.

a b c (Å): 3.105 3.105 9.990
angles (deg): 90.00 90.00 90.00
Atoms (fractional coordinates):
Ca1 0.000 0.000 0.049
Os1 0.500 0.500 0.250
Ca2 0.000 0.000 0.451
Zr1 0.500 0.500 0.750

- ΔH_f (0 K): 0.597 eV per atom
- DFT total energy: -21.39 eV per cell
- N(E_F): 6.387 states/eV per cell
- Polymorph energy (0 for the lowest one): 600 meV/atom
- Size of the total moment: 1.0 μB/cell
- SG: No. 123

# 14
DFT (PBE) results for a geometry-optimized Ca2ZrOs structure.

a b c (Å): 8.663 8.663 8.663
angles (deg): 157.90 151.25 36.56
Atoms (fractional coordinates):
Zr1 0.750 0.250 0.500
Ca1 0.094 0.094 0.000
Os1 0.250 0.750 0.500
Ca2 0.406 0.406 0.000

- ΔH_f (0 K): 0.131 eV per atom
- DFT total energy: -23.26 eV per cell
- N(E_F): 3.729 states/eV per cell
- Polymorph energy (0 for the lowest one): 135 meV/atom
- Size of the total moment: 0.0 μB/cell
- SG: No. 71

# 15
DFT (PBE) results for a geometry-optimized CaZr2Os structure.

a b c (Å): 5.969 5.969 5.293
angles (deg): 63.64 63.64 33.20
Atoms (fractional coordinates):
Ca1 0.250 0.250 0.250
Os1 0.750 0.750 0.750
Zr1 0.452 0.452 0.548
Zr2 0.048 0.048 0.952

- ΔH_f (0 K): -0.001 eV per atom
- DFT total energy: -30.33 eV per cell
- N(E_F): 3.461 states/eV per cell
- Polymorph energy (0 for the lowest one): 16 meV/atom
- Size of the total moment: 0.0 μB/cell
- SG: No. 71

# 16
DFT (PBE) results for a geometry-optimized CaZr2Os structure.

a b c (Å): 3.355 4.102 7.066
angles (deg): 90.00 90.00 90.00
Atoms (fractional coordinates):
Os1 0.500 0.500 0.828
Zr1 0.500 0.500 0.188
Zr2 0.000 0.000 0.964
Ca1 0.000 0.000 0.519

- ΔH_f (0 K): 0.155 eV per atom
- DFT total energy: -29.71 eV per cell
- N(E_F): 3.342 states/eV per cell
- Polymorph energy (0 for the lowest one): 172 meV/atom
- Size of the total moment: 0.0 μB/cell
- SG: No. 25

# 17
DFT (PBE) results for a geometry-optimized CaZrOs3 structure.

a b c (Å): 4.901 4.901 4.901
angles (deg): 90.00 90.00 90.00
Atoms (fractional coordinates):
Os1 0.000 0.500 0.000
Zr1 0.000 0.000 0.000
Os2 0.500 0.000 0.000
Ca1 0.500 0.500 0.500
Os3 0.000 0.000 0.500

- ΔH_f (0 K): 1.709 eV per atom
- DFT total energy: -35.69 eV per cell
- N(E_F): 7.541 states/eV per cell
- Polymorph energy (0 for the lowest one): 0 meV/atom
- Size of the total moment: 1.2 μB/cell
- SG: No. 221

# 18
DFT (PBE) results for a geometry-optimized CaZr2Os structure.

a b c (Å): 4.331 3.215 6.666
angles (deg): 77.03 90.00 90.00
Atoms (fractional coordinates):
Ca1 0.500 0.250 0.250
Zr1 0.000 0.527 0.556
Os1 0.500 0.750 0.750
Zr2 0.000 0.973 0.944

- ΔH_f (0 K): 0.124 eV per atom
- DFT total energy: -29.83 eV per cell
- N(E_F): 4.146 states/eV per cell
- Polymorph energy (0 for the lowest one): 140 meV/atom
- Size of the total moment: 0.0 μB/cell
- SG: No. 10

# 19
DFT (PBE) results for a geometry-optimized CaZr2Os structure.

a b c (Å): 4.878 4.878 4.878
angles (deg): 60.00 60.00 60.00
Atoms (fractional coordinates):
Os1 0.500 0.500 0.500
Zr1 0.750 0.750 0.750
Ca1 0.000 0.000 0.000
Zr2 0.250 0.250 0.250

- ΔH_f (0 K): 0.107 eV per atom
- DFT total energy: -29.90 eV per cell
- N(E_F): 3.944 states/eV per cell
- Polymorph energy (0 for the lowest one): 123 meV/atom
- Size of the total moment: 0.0 μB/cell
- SG: No. 225

# 20
DFT (PBE) results for a geometry-optimized CaZr2Os structure.

a b c (Å): 6.095 6.095 4.892
angles (deg): 66.34 66.34 32.75
Atoms (fractional coordinates):
Os1 0.734 0.734 0.766
Ca1 0.465 0.465 0.535
Zr1 0.252 0.252 0.248
Zr2 0.049 0.049 0.951

- ΔH_f (0 K): 0.047 eV per atom
- DFT total energy: -30.14 eV per cell
- N(E_F): 3.273 states/eV per cell
- Polymorph energy (0 for the lowest one): 64 meV/atom
- Size of the total moment: 0.0 μB/cell
- SG: No. 44

# 21
DFT (PBE) results for a geometry-optimized Ca2ZrOs structure.

a b c (Å): 3.906 3.906 6.170
angles (deg): 90.00 90.00 90.00
Atoms (fractional coordinates):
Ca1 0.000 0.000 0.472
Os1 0.500 0.500 0.250
Ca2 0.000 0.000 0.028
Zr1 0.500 0.500 0.750

- ΔH_f (0 K): 0.684 eV per atom
- DFT total energy: -21.05 eV per cell
- N(E_F): 6.200 states/eV per cell
- Polymorph energy (0 for the lowest one): 687 meV/atom
- Size of the total moment: 0.0 μB/cell
- SG: No. 123

# 22
DFT (PBE) results for a geometry-optimized Ca2ZrOs structure.

a b c (Å): 5.064 5.064 5.064
angles (deg): 60.00 60.00 60.00
Atoms (fractional coordinates):
Ca1 0.250 0.250 0.250
Os1 0.500 0.500 0.500
Zr1 0.000 0.000 0.000
Ca2 0.750 0.750 0.750

- ΔH_f (0 K): 0.774 eV per atom
- DFT total energy: -20.68 eV per cell
- N(E_F): 6.843 states/eV per cell
- Polymorph energy (0 for the lowest one): 778 meV/atom
- Size of the total moment: 0.3 μB/cell
- SG: No. 225

# 23
DFT (PBE) results for a geometry-optimized Ca2ZrOs structure.

a b c (Å): 5.095 3.185 5.861
angles (deg): 72.65 90.00 90.00
Atoms (fractional coordinates):
Ca1 0.000 0.433 0.481
Ca2 0.000 0.067 0.019
Zr1 0.500 0.750 0.750
Os1 0.500 0.250 0.250

- ΔH_f (0 K): 0.519 eV per atom
- DFT total energy: -21.71 eV per cell
- N(E_F): 4.134 states/eV per cell
- Polymorph energy (0 for the lowest one): 522 meV/atom
- Size of the total moment: 0.0 μB/cell
- SG: No. 10

# 24
DFT (PBE) results for a geometry-optimized Ca2ZrOs structure.

a b c (Å): 6.013 6.013 6.013
angles (deg): 139.90 139.90 58.00
Atoms (fractional coordinates):
Ca1 0.500 0.500 0.000
Zr1 0.750 0.250 0.500
Ca2 0.000 0.000 0.000
Os1 0.250 0.750 0.500

- ΔH_f (0 K): 0.375 eV per atom
- DFT total energy: -22.28 eV per cell
- N(E_F): 2.957 states/eV per cell
- Polymorph energy (0 for the lowest one): 378 meV/atom
- Size of the total moment: 0.0 μB/cell
- SG: No. 139

# 25
DFT (PBE) results for a geometry-optimized CaZr2Os structure.

a b c (Å): 4.830 4.831 3.556
angles (deg): 90.00 90.00 90.00
Atoms (fractional coordinates):
Zr1 0.000 0.000 0.000
Zr2 0.500 0.500 0.000
Ca1 0.500 0.000 0.500
Os1 0.000 0.500 0.500

- ΔH_f (0 K): 0.242 eV per atom
- DFT total energy: -29.36 eV per cell
- N(E_F): 2.560 states/eV per cell
- Polymorph energy (0 for the lowest one): 258 meV/atom
- Size of the total moment: 0.0 μB/cell
- SG: No. 123

# 26
DFT (PBE) results for a geometry-optimized CaZr2Os structure.

a b c (Å): 4.253 3.321 7.262
angles (deg): 72.95 90.00 90.00
Atoms (fractional coordinates):
Ca1 0.000 0.611 0.514
Zr1 0.500 0.324 0.193
Zr2 0.000 0.980 0.959
Os1 0.500 0.585 0.834

- ΔH_f (0 K): 0.152 eV per atom
- DFT total energy: -29.72 eV per cell
- N(E_F): 2.948 states/eV per cell
- Polymorph energy (0 for the lowest one): 168 meV/atom
- Size of the total moment: 0.0 μB/cell
- SG: No. 6

# 27
DFT (PBE) results for a geometry-optimized CaZr2Os structure.

a b c (Å): 3.191 3.191 9.486
angles (deg): 90.00 90.00 90.08
Atoms (fractional coordinates):
Zr1 0.000 0.000 0.928
Os1 0.500 0.500 0.750
Ca1 0.500 0.500 0.250
Zr2 0.000 0.000 0.572

- ΔH_f (0 K): -0.016 eV per atom
- DFT total energy: -30.39 eV per cell
- N(E_F): 5.495 states/eV per cell
- Polymorph energy (0 for the lowest one): 0 meV/atom
- Size of the total moment: 0.0 μB/cell
- SG: No. 123

# 28
DFT (PBE) results for a geometry-optimized CaZr2Os structure.

a b c (Å): 10.010 10.010 10.010
angles (deg): 18.85 18.85 18.85
Atoms (fractional coordinates):
Zr1 0.012 0.012 0.012
Ca1 0.487 0.487 0.487
Zr2 0.258 0.258 0.258
Os1 0.743 0.743 0.743

- ΔH_f (0 K): 0.272 eV per atom
- DFT total energy: -29.24 eV per cell
- N(E_F): 6.626 states/eV per cell
- Polymorph energy (0 for the lowest one): 288 meV/atom
- Size of the total moment: 0.3 μB/cell
- SG: No. 160

# 29
DFT (PBE) results for a geometry-optimized CaZrOs structure.

a b c (Å): 4.646 4.646 3.335
angles (deg): 90.00 90.00 120.00
Atoms (fractional coordinates):
Zr1 0.333 0.667 0.602
Ca1 0.000 0.000 0.027
Os1 0.667 0.333 0.371

- ΔH_f (0 K): 0.259 eV per atom
- DFT total energy: -21.00 eV per cell
- N(E_F): 2.862 states/eV per cell
- Polymorph energy (0 for the lowest one): 364 meV/atom
- Size of the total moment: 0.0 μB/cell
- SG: No. 156